Model i:
Density functional theory data (PBE-GGA) for a geometry-optimized TmSc3Te structure. Values from VASP.

Structure (Quantum ESPRESSO input):
```
&SYSTEM
  ibrav = 0, nat = 10, ntyp = 3
/
ATOMIC_SPECIES
Tm 168.93 Tm.upf
Sc 44.96 Sc.upf
Te 127.60 Te.upf
ATOMIC_POSITIONS angstrom
Tm 1.1004 0.0000 1.1460
Tm 9.9931 0.0000 7.2571
Sc 1.4789 0.0000 6.1495
Sc 4.2588 0.0000 0.2783
Sc 4.8867 0.0000 5.6345
Sc 6.2068 0.0000 2.7686
Sc 6.8347 0.0000 8.1247
Sc 9.6146 0.0000 2.2535
Te 3.2991 0.0000 3.2073
Te 7.7944 0.0000 5.1957
CELL_PARAMETERS angstrom
5.8580 -2.7759 0.0000
5.8580 2.7759 0.0000
-0.6224 0.0000 8.4030
```

Computed properties:
N(E_F)	1.507	states/eV/atom
crystal system	monoclinic

Model ii:
Density functional theory data (PBE-GGA) for a geometry-optimized TmSc3Te structure. Values from VASP.

Structure (Quantum ESPRESSO input):
```
&SYSTEM
  ibrav = 0, nat = 10, ntyp = 3
/
ATOMIC_SPECIES
Tm 168.93 Tm.upf
Sc 44.96 Sc.upf
Te 127.60 Te.upf
ATOMIC_POSITIONS angstrom
Tm 1.1029 0.0000 2.3181
Tm 14.0836 0.0000 3.7363
Sc 1.6519 0.0000 5.3502
Sc 4.2959 0.0000 2.1743
Sc 7.2589 0.0000 1.4725
Sc 7.9276 0.0000 4.5819
Sc 10.8907 0.0000 3.8801
Sc 13.5347 0.0000 0.7042
Te 4.7337 0.0000 5.1757
Te 10.4529 0.0000 0.8787
CELL_PARAMETERS angstrom
7.8937 -2.5823 0.0000
7.8937 2.5823 0.0000
-0.6008 0.0000 6.0544
```

Computed properties:
N(E_F)	1.485	states/eV/atom
crystal system	monoclinic

In terms of stability, model ii leads; the second structure lies 64 meV/atom higher.

Model i:
Density functional theory data (PBE-GGA) for a geometry-optimized ScVTe2 structure. Values from VASP.

Structure (Quantum ESPRESSO input):
```
&SYSTEM
  ibrav = 0, nat = 4, ntyp = 3
/
ATOMIC_SPECIES
Sc 44.96 Sc.upf
V 50.94 V.upf
Te 127.60 Te.upf
ATOMIC_POSITIONS angstrom
Sc 0.0000 0.0000 0.0000
V 0.0000 0.0000 13.9643
Te 0.0000 0.0000 2.9121
Te 0.0000 0.0000 25.0164
CELL_PARAMETERS angstrom
1.7717 1.0229 9.3095
-1.7717 1.0229 9.3095
0.0000 -2.0458 9.3095
```

Computed properties:
N(E_F)	0.970	states/eV/atom
crystal system	trigonal

Model ii:
Density functional theory data (PBE-GGA) for a geometry-optimized ScVTe2 structure. Values from VASP.

Structure (Quantum ESPRESSO input):
```
&SYSTEM
  ibrav = 0, nat = 4, ntyp = 3
/
ATOMIC_SPECIES
Sc 44.96 Sc.upf
V 50.94 V.upf
Te 127.60 Te.upf
ATOMIC_POSITIONS angstrom
Sc 0.0000 0.0000 0.0000
V 0.0000 0.0000 9.6138
Te 0.0000 0.0000 4.6893
Te 0.0000 0.0000 14.5383
CELL_PARAMETERS angstrom
2.0856 1.2041 6.4092
-2.0856 1.2041 6.4092
0.0000 -2.4082 6.4092
```

Computed properties:
N(E_F)	0.749	states/eV/atom
crystal system	trigonal

In terms of stability, model ii leads; the second structure lies 408 meV/atom higher.

Model i:
Density functional theory data (PBE-GGA) for a geometry-optimized ScVTe2 structure. Values from VASP.

Structure (Quantum ESPRESSO input):
```
&SYSTEM
  ibrav = 0, nat = 8, ntyp = 3
/
ATOMIC_SPECIES
Sc 44.96 Sc.upf
V 50.94 V.upf
Te 127.60 Te.upf
ATOMIC_POSITIONS angstrom
Sc 0.0000 0.0000 0.0000
Sc 0.0000 3.1969 3.2528
V 3.1969 0.0000 3.2528
V 0.0000 0.0000 6.5055
Te 1.5985 -1.5068 4.8791
Te 1.6901 1.5985 1.6264
Te 1.5985 4.7037 -1.6264
Te 1.5068 1.5985 8.1319
CELL_PARAMETERS angstrom
-3.1969 3.1969 6.5055
3.1969 -3.1969 6.5055
3.1969 3.1969 -6.5055
```

Computed properties:
N(E_F)	0.801	states/eV/atom
crystal system	tetragonal

Model ii:
Density functional theory data (PBE-GGA) for a geometry-optimized ScVTe2 structure. Values from VASP.

Structure (Quantum ESPRESSO input):
```
&SYSTEM
  ibrav = 0, nat = 4, ntyp = 3
/
ATOMIC_SPECIES
Sc 44.96 Sc.upf
V 50.94 V.upf
Te 127.60 Te.upf
ATOMIC_POSITIONS angstrom
Sc 0.0000 0.0000 0.0000
V 3.4602 3.4602 3.4602
Te 1.7301 1.7301 1.7301
Te 5.1903 5.1903 5.1903
CELL_PARAMETERS angstrom
0.0000 3.4602 3.4602
3.4602 0.0000 3.4602
3.4602 3.4602 0.0000
```

Computed properties:
N(E_F)	0.222	states/eV/atom
crystal system	cubic

In terms of stability, model ii leads; the second structure lies 24 meV/atom higher.

Model i:
Density functional theory data (PBE-GGA) for a geometry-optimized ScTe2W structure. Values from VASP.

Structure (Quantum ESPRESSO input):
```
&SYSTEM
  ibrav = 0, nat = 4, ntyp = 3
/
ATOMIC_SPECIES
Sc 44.96 Sc.upf
Te 127.60 Te.upf
W 183.84 W.upf
ATOMIC_POSITIONS angstrom
Sc 0.0000 0.0000 0.0000
Te 0.0000 0.0000 4.4295
Te 1.7946 1.7946 1.3191
W 1.7946 1.7946 5.7668
CELL_PARAMETERS angstrom
3.5892 0.0000 0.0000
0.0000 3.5892 0.0000
0.0000 0.0000 7.4046
```

Computed properties:
N(E_F)	0.666	states/eV/atom
crystal system	tetragonal

Model ii:
Density functional theory data (PBE-GGA) for a geometry-optimized ScTe2W structure. Values from VASP.

Structure (Quantum ESPRESSO input):
```
&SYSTEM
  ibrav = 0, nat = 4, ntyp = 3
/
ATOMIC_SPECIES
Sc 44.96 Sc.upf
Te 127.60 Te.upf
W 183.84 W.upf
ATOMIC_POSITIONS angstrom
Sc 0.0000 0.0000 0.0000
Te 1.6115 0.0000 4.4810
Te 4.3593 0.0000 2.4419
W 7.2099 0.0000 1.6957
CELL_PARAMETERS angstrom
4.8982 -1.7492 0.0000
4.8982 1.7492 0.0000
-1.1036 0.0000 5.0256
```

Computed properties:
N(E_F)	0.940	states/eV/atom
crystal system	monoclinic

Model iii:
Density functional theory data (PBE-GGA) for a geometry-optimized ScTe2W structure. Values from VASP.

Structure (Quantum ESPRESSO input):
```
&SYSTEM
  ibrav = 0, nat = 4, ntyp = 3
/
ATOMIC_SPECIES
Sc 44.96 Sc.upf
Te 127.60 Te.upf
W 183.84 W.upf
ATOMIC_POSITIONS angstrom
Sc 0.0000 0.0000 0.0000
Te 2.1480 0.0000 2.3245
Te 0.0000 0.0000 4.6490
W 0.0000 2.1480 2.3245
CELL_PARAMETERS angstrom
-2.1480 2.1480 4.6490
2.1480 -2.1480 4.6490
2.1480 2.1480 -4.6490
```

Computed properties:
N(E_F)	1.066	states/eV/atom
crystal system	tetragonal

Model iv:
Density functional theory data (PBE-GGA) for a geometry-optimized ScTe2W structure. Values from VASP.

Structure (Quantum ESPRESSO input):
```
&SYSTEM
  ibrav = 0, nat = 4, ntyp = 3
/
ATOMIC_SPECIES
Sc 44.96 Sc.upf
Te 127.60 Te.upf
W 183.84 W.upf
ATOMIC_POSITIONS angstrom
Sc 0.0000 0.0000 0.0000
Te 0.6943 2.1844 4.2938
Te 2.2534 2.1844 1.4976
W 1.4739 0.0000 2.8957
CELL_PARAMETERS angstrom
3.5757 0.0000 0.0000
0.0000 4.3688 0.0000
-0.6279 0.0000 5.7913
```

Computed properties:
N(E_F)	0.711	states/eV/atom
crystal system	monoclinic

In terms of stability, model i leads; the second structure lies 163 meV/atom higher.

Model i:
Density functional theory data (PBE-GGA) for a geometry-optimized ScTe2W structure. Values from VASP.

Structure (Quantum ESPRESSO input):
```
&SYSTEM
  ibrav = 0, nat = 4, ntyp = 3
/
ATOMIC_SPECIES
Sc 44.96 Sc.upf
Te 127.60 Te.upf
W 183.84 W.upf
ATOMIC_POSITIONS angstrom
Sc 0.0000 0.0000 0.0000
Te 0.0000 0.0000 6.3288
Te 0.0000 0.0000 19.8358
W 0.0000 0.0000 13.0823
CELL_PARAMETERS angstrom
1.7185 0.9922 8.7215
-1.7185 0.9922 8.7215
0.0000 -1.9843 8.7215
```

Computed properties:
N(E_F)	1.255	states/eV/atom
crystal system	trigonal

Model ii:
Density functional theory data (PBE-GGA) for a geometry-optimized ScTe2W structure. Values from VASP.

Structure (Quantum ESPRESSO input):
```
&SYSTEM
  ibrav = 0, nat = 4, ntyp = 3
/
ATOMIC_SPECIES
Sc 44.96 Sc.upf
Te 127.60 Te.upf
W 183.84 W.upf
ATOMIC_POSITIONS angstrom
Sc 0.0000 0.0000 0.0000
Te 1.0041 0.0000 4.3539
Te 5.9171 0.0000 1.6550
W 3.4606 0.0000 3.0044
CELL_PARAMETERS angstrom
4.1583 -1.7816 0.0000
4.1583 1.7816 0.0000
-1.3955 0.0000 6.0089
```

Computed properties:
N(E_F)	0.811	states/eV/atom
crystal system	monoclinic

Model iii:
Density functional theory data (PBE-GGA) for a geometry-optimized ScTe2W structure. Values from VASP.

Structure (Quantum ESPRESSO input):
```
&SYSTEM
  ibrav = 0, nat = 4, ntyp = 3
/
ATOMIC_SPECIES
Sc 44.96 Sc.upf
Te 127.60 Te.upf
W 183.84 W.upf
ATOMIC_POSITIONS angstrom
Sc 0.0000 0.0000 0.0000
Te 1.8289 0.0000 4.2876
Te 0.0000 0.0000 7.6229
W 0.0000 1.8710 3.2475
CELL_PARAMETERS angstrom
-1.8289 1.8710 6.4914
1.8289 -1.8710 6.4914
1.8289 1.8710 -6.4914
```

Computed properties:
N(E_F)	0.418	states/eV/atom
crystal system	orthorhombic

Model iv:
Density functional theory data (PBE-GGA) for a geometry-optimized ScTe2W structure. Values from VASP.

Structure (Quantum ESPRESSO input):
```
&SYSTEM
  ibrav = 0, nat = 8, ntyp = 3
/
ATOMIC_SPECIES
Sc 44.96 Sc.upf
Te 127.60 Te.upf
W 183.84 W.upf
ATOMIC_POSITIONS angstrom
Sc 0.0000 0.0000 0.0000
Sc 0.0000 2.7806 3.8254
Te 1.3903 -1.2072 5.7381
Te 1.5734 1.3903 1.9127
Te 1.3903 3.9879 -1.9127
Te 1.2072 1.3903 9.5634
W 2.7806 0.0000 3.8254
W 0.0000 0.0000 7.6508
CELL_PARAMETERS angstrom
-2.7806 2.7806 7.6508
2.7806 -2.7806 7.6508
2.7806 2.7806 -7.6508
```

Computed properties:
N(E_F)	1.490	states/eV/atom
crystal system	tetragonal

In terms of stability, model iii leads; the second structure lies 149 meV/atom higher.